# 1
This record from the Alexandria database describes an optimized crystal structure of K2Ga2Au. The functional is PBE-GGA.

Summary:
**Space-group type**: No. 63
**Total moment**: 0.000 μB per atom
**Density of states at the Fermi level**: 4.36 states/eV/cell
**Energy of formation**: -0.183 eV per atom
**Energy relative to the lowest polymorph listed for this composition**: 0 meV per atom

Cell: 6.655 6.655 7.516 Å, 90.00 90.00 105.43°
Fractional positions:
Ga: 0.659 0.659 0.586
K: 0.808 0.192 0.000
K: 0.192 0.808 0.000
Ga: 0.341 0.341 0.086
Ga: 0.659 0.659 0.914
Au: 0.647 0.647 0.250
Au: 0.353 0.353 0.750
Ga: 0.341 0.341 0.414
K: 0.192 0.808 0.500
K: 0.808 0.192 0.500

---

# 2
This record from the Alexandria database describes an optimized crystal structure of KGa3Au2. The functional is PBE-GGA.

Summary:
**Space-group type**: No. 12
**Total moment**: 0.000 μB per atom
**Density of states at the Fermi level**: 7.01 states/eV/cell
**Energy of formation**: -0.250 eV per atom
**Energy relative to the lowest polymorph listed for this composition**: 0 meV per atom

Cell: 4.516 8.858 10.654 Å, 104.52 90.00 104.77°
Fractional positions:
Au: 0.528 0.056 0.780
Ga: 0.668 0.335 0.963
Au: 0.649 0.299 0.456
Ga: 0.793 0.586 0.621
Ga: 0.375 0.750 0.803
Ga: 0.207 0.414 0.379
Ga: 0.625 0.250 0.197
K: 0.838 0.676 0.289
Au: 0.804 0.607 0.881
Au: 0.472 0.944 0.220
Au: 0.351 0.701 0.544
Ga: 0.332 0.665 0.037
Au: 0.196 0.393 0.119
Ga: 0.500 0.000 0.500
K: 0.000 0.000 0.000
K: 0.162 0.324 0.711
Ga: 0.961 0.923 0.632
Ga: 0.039 0.077 0.368

---

# 3
This record from the Alexandria database describes an optimized crystal structure of KGaAu3. The functional is PBE-GGA.

Summary:
**Space-group type**: No. 221
**Total moment**: 0.000 μB per atom
**Density of states at the Fermi level**: 1.22 states/eV/cell
**Energy of formation**: -0.165 eV per atom
**Energy relative to the lowest polymorph listed for this composition**: 106 meV per atom

Cell: 5.058 5.058 5.058 Å, 90.00 90.00 90.00°
Fractional positions:
Ga: 0.000 0.000 0.000
Au: 0.000 0.500 0.000
Au: 0.500 0.000 0.000
K: 0.500 0.500 0.500
Au: 0.000 0.000 0.500